Tb2SnAu | GGA-PBE | relaxed

a b c (Å): 3.566 3.566 7.907
angles (deg): 90.00 90.00 90.00
Fractional positions:
Tb  0.000  0.000  0.234
Tb  0.000  0.000  0.766
Sn  0.500  0.500  0.500
Au  0.500  0.500  0.000

Formation energy from the elements   -0.737 eV/atom
Symmetry   P4/mmm, No. 123

Tb3Sn3Au | GGA-PBE | relaxed

a b c (Å): 6.110 6.110 15.009
angles (deg): 107.61 107.61 43.64
Fractional positions:
Tb  0.022  0.022  0.378
Tb  0.101  0.101  0.925
Tb  0.230  0.230  0.229
Tb  0.770  0.770  0.771
Tb  0.899  0.899  0.075
Tb  0.978  0.978  0.622
Sn  0.361  0.361  0.457
Sn  0.373  0.373  0.924
Sn  0.494  0.494  0.773
Sn  0.506  0.506  0.227
Sn  0.627  0.627  0.076
Sn  0.639  0.639  0.543
Au  0.272  0.272  0.620
Au  0.728  0.728  0.380

Formation energy from the elements   -0.743 eV/atom
Symmetry   C2/m, No. 12

TbSn2Au4 | GGA-PBE | relaxed

a b c (Å): 8.211 4.726 8.653
angles (deg): 90.00 108.58 90.00
Fractional positions:
Tb  0.000  0.000  0.000
Tb  0.500  0.500  0.000
Sn  0.243  0.000  0.733
Sn  0.257  0.500  0.267
Sn  0.743  0.500  0.733
Sn  0.757  0.000  0.267
Au  0.109  0.500  0.827
Au  0.133  0.000  0.394
Au  0.367  0.500  0.606
Au  0.391  0.000  0.173
Au  0.609  0.000  0.827
Au  0.633  0.500  0.394
Au  0.867  0.000  0.606
Au  0.891  0.500  0.173

Formation energy from the elements   -0.396 eV/atom
Symmetry   C2/m, No. 12

Number 1: density 10.464 g/cm³, VASP energy -4.87 eV/atom, magnetization 0.00 μB/cell. Number 2: density 9.357 g/cm³, VASP energy -4.91 eV/atom, magnetization 0.00 μB/cell. Number 3: density 12.356 g/cm³, VASP energy -4.07 eV/atom, magnetization 0.00 μB/cell.